Entry 1:
SrScMo2: relaxed, GGA-PBE.

Structure (CIF):
```
data_SrScMo2
_chemical_formula_sum 'Sr4 Sc4 Mo8'
_cell_length_a 7.991
_cell_length_b 7.991
_cell_length_c 5.592
_cell_angle_alpha 90.00
_cell_angle_beta 90.00
_cell_angle_gamma 90.00
_symmetry_space_group_name_H-M 'I -4 2 d'
_symmetry_Int_Tables_number 122
_symmetry_space_group_name_Hall 'I -4 2bw'
loop_
_atom_site_label
_atom_site_type_symbol
_atom_site_fract_x
_atom_site_fract_y
_atom_site_fract_z
_atom_site_occupancy
Sr1 Sr 0.000 0.000 0.000 1
Sc1 Sc 0.000 0.000 0.500 1
Mo1 Mo 0.225 0.250 0.625 1
```

uncorrected energy: -6.086 eV/atom
formation enthalpy at 0 K: 128.6 kJ/mol of atoms
magnetization: 0.0 Bohr magnetons per cell
N(E_F): 23.1 states/eV/cell
energy relative to the lowest polymorph listed for this composition: 1007 meV/atom

=====

Entry 2:
SrSc2Mo: relaxed, GGA-PBE.

Structure (CIF):
```
data_SrSc2Mo
_chemical_formula_sum 'Sr1 Sc2 Mo1'
_cell_length_a 4.734
_cell_length_b 4.734
_cell_length_c 4.255
_cell_angle_alpha 90.00
_cell_angle_beta 90.00
_cell_angle_gamma 90.00
_symmetry_space_group_name_H-M 'P 4/m m m'
_symmetry_Int_Tables_number 123
_symmetry_space_group_name_Hall '-P 4 2'
loop_
_atom_site_label
_atom_site_type_symbol
_atom_site_fract_x
_atom_site_fract_y
_atom_site_fract_z
_atom_site_occupancy
Sr1 Sr 0.000 0.000 0.000 1
Sc1 Sc 0.000 0.500 0.500 1
Mo1 Mo 0.500 0.500 0.000 1
```

uncorrected energy: -5.643 eV/atom
formation enthalpy at 0 K: 62.8 kJ/mol of atoms
magnetization: 0.0 Bohr magnetons per cell
N(E_F): 3.7 states/eV/cell
energy relative to the lowest polymorph listed for this composition: 409 meV/atom

=====

Entry 3:
SrScMo2: relaxed, GGA-PBE.

Structure (CIF):
```
data_SrScMo2
_chemical_formula_sum 'Sr2 Sc2 Mo4'
_cell_length_a 5.751
_cell_length_b 10.106
_cell_length_c 2.836
_cell_angle_alpha 90.00
_cell_angle_beta 94.44
_cell_angle_gamma 90.00
_symmetry_space_group_name_H-M 'C 1 2/m 1'
_symmetry_Int_Tables_number 12
_symmetry_space_group_name_Hall '-C 2y'
loop_
_atom_site_label
_atom_site_type_symbol
_atom_site_fract_x
_atom_site_fract_y
_atom_site_fract_z
_atom_site_occupancy
Sr1 Sr 0.000 0.000 0.000 1
Sc1 Sc 0.000 0.500 0.000 1
Mo1 Mo 0.250 0.250 0.500 1
```

uncorrected energy: -6.556 eV/atom
formation enthalpy at 0 K: 83.3 kJ/mol of atoms
magnetization: 0.0 Bohr magnetons per cell
N(E_F): 8.7 states/eV/cell
energy relative to the lowest polymorph listed for this composition: 537 meV/atom

=====

Entry 4:
SrScMo2: relaxed, GGA-PBE.

Structure (CIF):
```
data_SrScMo2
_chemical_formula_sum 'Sr2 Sc2 Mo4'
_cell_length_a 9.895
_cell_length_b 3.303
_cell_length_c 6.427
_cell_angle_alpha 90.00
_cell_angle_beta 95.82
_cell_angle_gamma 90.00
_symmetry_space_group_name_H-M 'C 1 2/m 1'
_symmetry_Int_Tables_number 12
_symmetry_space_group_name_Hall '-C 2y'
loop_
_atom_site_label
_atom_site_type_symbol
_atom_site_fract_x
_atom_site_fract_y
_atom_site_fract_z
_atom_site_occupancy
Sr1 Sr 0.000 0.000 0.000 1
Sc1 Sc 0.000 0.500 0.500 1
Mo1 Mo 0.245 0.000 0.639 1
```

uncorrected energy: -6.806 eV/atom
formation enthalpy at 0 K: 59.1 kJ/mol of atoms
magnetization: 0.0 Bohr magnetons per cell
N(E_F): 8.7 states/eV/cell
energy relative to the lowest polymorph listed for this composition: 287 meV/atom

=====

Entry 5:
SrSc2Mo: relaxed, GGA-PBE.

Structure (CIF):
```
data_SrSc2Mo
_chemical_formula_sum 'Sr1 Sc2 Mo1'
_cell_length_a 3.233
_cell_length_b 4.928
_cell_length_c 6.897
_cell_angle_alpha 90.00
_cell_angle_beta 103.47
_cell_angle_gamma 90.00
_symmetry_space_group_name_H-M 'P 1 m 1'
_symmetry_Int_Tables_number 6
_symmetry_space_group_name_Hall 'P -2y'
loop_
_atom_site_label
_atom_site_type_symbol
_atom_site_fract_x
_atom_site_fract_y
_atom_site_fract_z
_atom_site_occupancy
Sr1 Sr 0.000 0.000 0.000 1
Sc1 Sc 0.318 0.500 0.636 1
Sc2 Sc 0.722 0.000 0.451 1
Mo1 Mo 0.650 0.500 0.292 1
```

uncorrected energy: -5.844 eV/atom
formation enthalpy at 0 K: 43.4 kJ/mol of atoms
magnetization: 0.0 Bohr magnetons per cell
N(E_F): 3.3 states/eV/cell
energy relative to the lowest polymorph listed for this composition: 208 meV/atom

=====

Entry 6:
SrSc2Mo: relaxed, GGA-PBE.

Structure (CIF):
```
data_SrSc2Mo
_chemical_formula_sum 'Sr1 Sc2 Mo1'
_cell_length_a 3.670
_cell_length_b 3.670
_cell_length_c 7.963
_cell_angle_alpha 90.00
_cell_angle_beta 90.00
_cell_angle_gamma 90.00
_symmetry_space_group_name_H-M 'P 4 m m'
_symmetry_Int_Tables_number 99
_symmetry_space_group_name_Hall 'P 4 -2'
loop_
_atom_site_label
_atom_site_type_symbol
_atom_site_fract_x
_atom_site_fract_y
_atom_site_fract_z
_atom_site_occupancy
Sr1 Sr 0.000 0.000 0.000 1
Sc1 Sc 0.000 0.000 0.412 1
Sc2 Sc 0.500 0.500 0.633 1
Mo1 Mo 0.500 0.500 0.290 1
```

uncorrected energy: -5.911 eV/atom
formation enthalpy at 0 K: 37.0 kJ/mol of atoms
magnetization: 0.0 Bohr magnetons per cell
N(E_F): 4.1 states/eV/cell
energy relative to the lowest polymorph listed for this composition: 141 meV/atom

=====

Entry 7:
SrScMo2: relaxed, GGA-PBE.

Structure (CIF):
```
data_SrScMo2
_chemical_formula_sum 'Sr1 Sc1 Mo2'
_cell_length_a 3.805
_cell_length_b 4.315
_cell_length_c 5.015
_cell_angle_alpha 90.00
_cell_angle_beta 90.00
_cell_angle_gamma 90.00
_symmetry_space_group_name_H-M 'P m m m'
_symmetry_Int_Tables_number 47
_symmetry_space_group_name_Hall '-P 2 2'
loop_
_atom_site_label
_atom_site_type_symbol
_atom_site_fract_x
_atom_site_fract_y
_atom_site_fract_z
_atom_site_occupancy
Sr1 Sr 0.000 0.000 0.000 1
Sc1 Sc 0.500 0.500 0.000 1
Mo1 Mo 0.000 0.500 0.500 1
Mo2 Mo 0.500 0.000 0.500 1
```

uncorrected energy: -6.501 eV/atom
formation enthalpy at 0 K: 88.6 kJ/mol of atoms
magnetization: 0.0 Bohr magnetons per cell
N(E_F): 3.0 states/eV/cell
energy relative to the lowest polymorph listed for this composition: 592 meV/atom

=====

Entry 8:
SrSc2Mo: relaxed, GGA-PBE.

Structure (CIF):
```
data_SrSc2Mo
_chemical_formula_sum 'Sr1 Sc2 Mo1'
_cell_length_a 3.115
_cell_length_b 3.115
_cell_length_c 10.267
_cell_angle_alpha 90.00
_cell_angle_beta 90.00
_cell_angle_gamma 90.00
_symmetry_space_group_name_H-M 'P 4 m m'
_symmetry_Int_Tables_number 99
_symmetry_space_group_name_Hall 'P 4 -2'
loop_
_atom_site_label
_atom_site_type_symbol
_atom_site_fract_x
_atom_site_fract_y
_atom_site_fract_z
_atom_site_occupancy
Sr1 Sr 0.000 0.000 0.000 1
Sc1 Sc 0.000 0.000 0.439 1
Sc2 Sc 0.500 0.500 0.690 1
Mo1 Mo 0.500 0.500 0.248 1
```

uncorrected energy: -5.713 eV/atom
formation enthalpy at 0 K: 56.0 kJ/mol of atoms
magnetization: 0.0 Bohr magnetons per cell
N(E_F): 8.0 states/eV/cell
energy relative to the lowest polymorph listed for this composition: 339 meV/atom